12
Lattice="5.0374 0.0000 0.0000 0.0000 5.8287 0.1550 0.0000 -2.1738 5.3259" Properties=species:S:1:pos:R:3 comment="PaReN4 | the Alexandria database | GGA-PBE | relaxed" formation_energy_uncorrected_ev_per_atom=-0.436 polymorph_energy_mev_per_atom=179 vol_a3_per_atom=13.2 m_tot_mub_per_atom=0.000 dos_at_fermi_per_ev_atom=0.0967 spacegroup=P2_1/c total_energy_ev_per_atom=-9.6436 pbc="T T T"
Pa 0.0000 1.8275 2.7405
Pa 2.5187 -1.0869 2.6629
Re 2.5187 2.9144 0.0775
Re 0.0000 0.0000 0.0000
N 1.4539 4.4278 0.7432
N 1.0648 1.5134 0.6657
N 3.2918 2.8932 1.8588
N 0.7732 3.6762 3.6997
N 4.2642 -0.0212 1.7812
N 1.7455 0.7618 3.6221
N 3.9726 2.1415 4.8152
N 3.5834 -0.7729 4.7377